1:
Crystalline Ag5HgBr8 at its relaxed geometry, computed with PBE-GGA.

Cell lengths 8.334, 8.334, 8.334 Å; angles 60.00, 60.00, 60.00 degrees
Fractional positions:
Ag: 0.000 0.000 0.000
Ag: 0.628 0.628 0.115
Ag: 0.628 0.628 0.628
Ag: 0.115 0.628 0.628
Ag: 0.628 0.115 0.628
Hg: 0.250 0.250 0.250
Br: 0.383 0.851 0.383
Br: 0.851 0.383 0.383
Br: 0.383 0.383 0.383
Br: 0.383 0.383 0.851
Br: 0.869 0.869 0.393
Br: 0.393 0.869 0.869
Br: 0.869 0.869 0.869
Br: 0.869 0.393 0.869

Space-group type: F-43m
Size of the total moment (μB per cell): 0.00

---

2:
Crystalline Ag5HgBr8 at its relaxed geometry, computed with PBE-GGA.

Cell lengths 8.081, 8.081, 8.081 Å; angles 105.58, 105.58, 117.58 degrees
Fractional positions:
Ag: 0.859 0.362 0.972
Ag: 0.638 0.611 0.497
Ag: 0.389 0.887 0.028
Ag: 0.500 0.500 0.000
Ag: 0.113 0.141 0.503
Hg: 0.250 0.750 0.500
Br: 0.121 0.834 0.209
Br: 0.166 0.375 0.287
Br: 0.680 0.872 0.313
Br: 0.128 0.442 0.809
Br: 0.633 0.320 0.191
Br: 0.088 0.879 0.713
Br: 0.625 0.912 0.791
Br: 0.558 0.367 0.687

Space-group type: I-4
Size of the total moment (μB per cell): 0.00

---

Tell me which of them is the least stable. Sure, it is 2.